Compound: Li2CrSbO6
Source: the Alexandria database
Functional: PBE with a Hubbard U
Structure: relaxed

## Properties
The density is 4.00 g cm⁻³. For the spin magnetization, the calculation gives 1.0 μB per formula unit. The crystal system is tetragonal. The value obtained for the volume is 11.77 Å³ per atom. The uncorrected energy comes out at -5.98 eV/atom.

Cell: 4.068 5.379 5.379 Å, 90.00 90.00 90.00°
Site moments in Bohr magnetons follow the coordinates.
Positions (direct):
O 0.183 0.500 0.500  -0.02
Sb 0.662 0.500 0.500  0.00
O 0.730 0.759 0.241  -0.01
Li 0.925 0.000 0.500  0.00
O 0.730 0.759 0.759  -0.01
O 0.730 0.241 0.241  -0.01
O 0.730 0.241 0.759  -0.01
O 0.219 0.000 0.000  -0.19
Li 0.925 0.500 0.000  0.00
Cr 0.611 0.000 0.000  1.26